VASP calculation (PBE-GGA) on a relaxed Sc2Au crystal.

For the formation energy, the calculation gives -325 meV per atom. As for the volume: 24.1 A^3/atom. The total energy comes out at -5.6387 eV per atom.

```
Sc2Au
1.0
4.762 0.000 0.000
0.000 4.762 0.000
0.000 0.000 3.190
Au Sc
1 2
direct
0.000 0.000 0.000
0.000 0.500 0.500
0.500 0.000 0.500
```


VASP calculation (PBE-GGA) on a relaxed Sc3Au crystal.

For the formation energy, the calculation gives -349 meV per atom. As for the volume: 21.2 A^3/atom. The total energy comes out at -5.9168 eV per atom.

```
Sc3Au
1.0
-2.527 -3.069 1.863
1.994 0.694 3.849
-2.985 3.062 0.994
Au Sc
1 3
direct
0.000 0.000 0.000
0.000 0.500 0.500
0.500 0.000 0.500
0.500 0.500 0.000
```


VASP calculation (PBE-GGA) on a relaxed Sc3Au crystal.

For the formation energy, the calculation gives -347 meV per atom. As for the volume: 21.2 A^3/atom. The total energy comes out at -5.9154 eV per atom.

```
Sc3Au
1.0
-3.559 3.094 1.000
-2.442 -3.891 3.351
3.225 2.145 4.841
Sc Au
6 2
direct
0.500 0.618 0.000
0.000 0.846 0.256
0.500 0.154 0.244
0.000 0.382 0.500
0.000 0.846 0.744
0.500 0.154 0.756
0.000 0.325 0.000
0.500 0.675 0.500
```